#a
Entry from the Alexandria database: crystalline Hf3SnTe at its relaxed geometry (GGA-PBE).

Calculated values
Space group: C2/m

abc: 9.382 9.382 7.129
angles: 94.00 94.00 21.41
Atoms (fractional coordinates):
Hf  0.017  0.017  0.252
Hf  0.201  0.201  0.845
Hf  0.402  0.402  0.436
Hf  0.598  0.598  0.564
Hf  0.799  0.799  0.155
Hf  0.983  0.983  0.748
Sn  0.195  0.195  0.344
Sn  0.805  0.805  0.656
Te  0.410  0.410  0.021
Te  0.590  0.590  0.979

#b
Entry from the Alexandria database: crystalline Hf3SnTe at its relaxed geometry (GGA-PBE).

Calculated values
Space group: Pm-3m

abc: 5.210 5.210 5.210
angles: 90.00 90.00 90.00
Atoms (fractional coordinates):
Hf  0.000  0.000  0.500
Hf  0.000  0.500  0.000
Hf  0.500  0.000  0.000
Sn  0.500  0.500  0.500
Te  0.000  0.000  0.000

The structure with the least stability is #b.

#a
Entry from the Alexandria database: crystalline HfTh2Sn at its relaxed geometry (GGA-PBE).

Calculated values
Space group: R-3m

abc: 3.376 3.376 36.079
angles: 90.00 90.00 120.00
Atoms (fractional coordinates):
Hf  0.000  0.000  0.000
Hf  0.333  0.667  0.667
Hf  0.667  0.333  0.333
Th  0.000  0.000  0.409
Th  0.000  0.000  0.591
Th  0.333  0.667  0.076
Th  0.333  0.667  0.257
Th  0.667  0.333  0.743
Th  0.667  0.333  0.924
Sn  0.000  0.000  0.500
Sn  0.333  0.667  0.167
Sn  0.667  0.333  0.833

#b
Entry from the Alexandria database: crystalline HfTh2Sn at its relaxed geometry (GGA-PBE).

Calculated values
Space group: P4/mmm

abc: 4.097 4.097 6.806
angles: 90.00 90.00 90.00
Atoms (fractional coordinates):
Hf  0.000  0.000  0.000
Th  0.500  0.500  0.261
Th  0.500  0.500  0.739
Sn  0.000  0.000  0.500

#c
Entry from the Alexandria database: crystalline HfTh2Sn at its relaxed geometry (GGA-PBE).

Calculated values
Space group: P4/mmm

abc: 4.727 4.727 4.862
angles: 90.00 90.00 90.00
Atoms (fractional coordinates):
Hf  0.000  0.000  0.000
Th  0.000  0.500  0.500
Th  0.500  0.000  0.500
Sn  0.500  0.500  0.000

The structure with the least stability is #a.

#a
Entry from the Alexandria database: crystalline HfTi4Sn at its relaxed geometry (GGA-PBE).

Calculated values
Space group: P6/mmm

abc: 4.657 4.657 5.865
angles: 90.00 90.00 120.00
Atoms (fractional coordinates):
Hf  0.000  0.000  0.000
Ti  0.333  0.667  0.248
Ti  0.333  0.667  0.752
Ti  0.667  0.333  0.248
Ti  0.667  0.333  0.752
Sn  0.000  0.000  0.500

#b
Entry from the Alexandria database: crystalline HfTi4Sn at its relaxed geometry (GGA-PBE).

Calculated values
Space group: F-43m

abc: 5.423 5.423 5.423
angles: 60.00 60.00 60.00
Atoms (fractional coordinates):
Hf  0.000  0.000  0.000
Ti  0.116  0.628  0.628
Ti  0.628  0.116  0.628
Ti  0.628  0.628  0.116
Ti  0.628  0.628  0.628
Sn  0.250  0.250  0.250

The structure with the least stability is #b.

#a
Entry from the Alexandria database: crystalline Hf3Ti2Sn2 at its relaxed geometry (GGA-PBE).

Calculated values
Space group: I2_13

abc: 7.436 7.436 7.436
angles: 109.47 109.47 109.47
Atoms (fractional coordinates):
Hf  0.228  0.750  0.978
Hf  0.250  0.522  0.272
Hf  0.272  0.250  0.522
Hf  0.522  0.272  0.250
Hf  0.750  0.978  0.228
Hf  0.978  0.228  0.750
Ti  0.000  0.840  0.500
Ti  0.500  0.000  0.840
Ti  0.660  0.660  0.660
Ti  0.840  0.500  0.000
Sn  0.000  0.469  0.500
Sn  0.031  0.031  0.031
Sn  0.469  0.500  0.000
Sn  0.500  0.000  0.469

#b
Entry from the Alexandria database: crystalline Hf3Ti2Sn2 at its relaxed geometry (GGA-PBE).

Calculated values
Space group: C2/m

abc: 13.387 3.112 7.554
angles: 90.00 112.21 90.00
Atoms (fractional coordinates):
Hf  0.000  0.000  0.000
Hf  0.220  0.500  0.158
Hf  0.280  0.000  0.842
Hf  0.500  0.500  0.000
Hf  0.720  0.000  0.158
Hf  0.780  0.500  0.842
Ti  0.149  0.000  0.434
Ti  0.351  0.500  0.566
Ti  0.649  0.500  0.434
Ti  0.851  0.000  0.566
Sn  0.069  0.500  0.719
Sn  0.431  0.000  0.281
Sn  0.569  0.000  0.719
Sn  0.931  0.500  0.281

The structure with the least stability is #a.

#a
Entry from the Alexandria database: crystalline Hf2TiSn2 at its relaxed geometry (GGA-PBE).

Calculated values
Space group: P4/mbm

abc: 7.367 7.367 3.973
angles: 90.00 90.00 90.00
Atoms (fractional coordinates):
Hf  0.165  0.335  0.000
Hf  0.335  0.835  0.000
Hf  0.665  0.165  0.000
Hf  0.835  0.665  0.000
Ti  0.000  0.000  0.500
Ti  0.500  0.500  0.500
Sn  0.140  0.640  0.500
Sn  0.360  0.140  0.500
Sn  0.640  0.860  0.500
Sn  0.860  0.360  0.500

#b
Entry from the Alexandria database: crystalline Hf2TiSn2 at its relaxed geometry (GGA-PBE).

Calculated values
Space group: P4/mbm

abc: 8.395 8.395 3.205
angles: 90.00 90.00 90.00
Atoms (fractional coordinates):
Hf  0.126  0.374  0.000
Hf  0.374  0.874  0.000
Hf  0.626  0.126  0.000
Hf  0.874  0.626  0.000
Ti  0.000  0.000  0.000
Ti  0.500  0.500  0.000
Sn  0.173  0.673  0.500
Sn  0.327  0.173  0.500
Sn  0.673  0.827  0.500
Sn  0.827  0.327  0.500

The structure with the least stability is #b.

#a
Entry from the Alexandria database: crystalline HfTi3Sn at its relaxed geometry (GGA-PBE).

Calculated values
Space group: Pm-3m

abc: 4.844 4.844 4.844
angles: 90.00 90.00 90.00
Atoms (fractional coordinates):
Hf  0.000  0.000  0.000
Ti  0.000  0.000  0.500
Ti  0.000  0.500  0.000
Ti  0.500  0.000  0.000
Sn  0.500  0.500  0.500

#b
Entry from the Alexandria database: crystalline HfTi3Sn at its relaxed geometry (GGA-PBE).

Calculated values
Space group: Pm-3m

abc: 4.966 4.966 4.966
angles: 90.00 90.00 90.00
Atoms (fractional coordinates):
Hf  0.000  0.000  0.000
Ti  0.000  0.500  0.500
Ti  0.500  0.000  0.500
Ti  0.500  0.500  0.000
Sn  0.500  0.500  0.500

#c
Entry from the Alexandria database: crystalline HfTi3Sn at its relaxed geometry (GGA-PBE).

Calculated values
Space group: I4mm

abc: 3.855 3.855 13.439
angles: 90.00 90.00 90.00
Atoms (fractional coordinates):
Hf  0.000  0.000  0.000
Hf  0.500  0.500  0.500
Ti  0.000  0.000  0.416
Ti  0.000  0.500  0.280
Ti  0.000  0.500  0.780
Ti  0.500  0.000  0.280
Ti  0.500  0.000  0.780
Ti  0.500  0.500  0.916
Sn  0.000  0.000  0.617
Sn  0.500  0.500  0.117

#d
Entry from the Alexandria database: crystalline HfTi3Sn at its relaxed geometry (GGA-PBE).

Calculated values
Space group: P2/m

abc: 4.770 2.929 13.638
angles: 90.00 90.02 90.00
Atoms (fractional coordinates):
Hf  0.249  0.000  0.244
Hf  0.751  0.000  0.756
Ti  0.250  0.000  0.450
Ti  0.250  0.500  0.055
Ti  0.251  0.000  0.870
Ti  0.749  0.000  0.130
Ti  0.750  0.000  0.550
Ti  0.750  0.500  0.945
Sn  0.251  0.500  0.646
Sn  0.749  0.500  0.354

The structure with the least stability is #b.

#a
Entry from the Alexandria database: crystalline HfTi5Sn3 at its relaxed geometry (GGA-PBE).

Calculated values
Space group: I4/mcm

abc: 8.552 8.552 8.552
angles: 129.41 129.41 74.36
Atoms (fractional coordinates):
Hf  0.250  0.750  0.500
Hf  0.750  0.250  0.500
Ti  0.000  0.000  0.000
Ti  0.068  0.568  0.921
Ti  0.147  0.068  0.500
Ti  0.353  0.853  0.921
Ti  0.432  0.353  0.500
Ti  0.500  0.500  0.000
Ti  0.568  0.647  0.500
Ti  0.647  0.147  0.079
Ti  0.853  0.932  0.500
Ti  0.932  0.432  0.079
Sn  0.126  0.374  0.500
Sn  0.250  0.250  0.000
Sn  0.374  0.874  0.249
Sn  0.626  0.126  0.751
Sn  0.750  0.750  0.000
Sn  0.874  0.626  0.500

#b
Entry from the Alexandria database: crystalline HfTi5Sn3 at its relaxed geometry (GGA-PBE).

Calculated values
Space group: P6_3/mcm

abc: 8.278 8.278 5.719
angles: 90.00 90.00 120.00
Atoms (fractional coordinates):
Hf  0.000  0.000  0.000
Hf  0.000  0.000  0.500
Ti  0.000  0.332  0.250
Ti  0.000  0.668  0.750
Ti  0.332  0.000  0.250
Ti  0.332  0.332  0.750
Ti  0.333  0.667  0.000
Ti  0.333  0.667  0.500
Ti  0.667  0.333  0.000
Ti  0.667  0.333  0.500
Ti  0.668  0.000  0.750
Ti  0.668  0.668  0.250
Sn  0.000  0.338  0.750
Sn  0.000  0.662  0.250
Sn  0.338  0.000  0.750
Sn  0.338  0.338  0.250
Sn  0.662  0.000  0.250
Sn  0.662  0.662  0.750

The structure with the least stability is #a.

#a
Entry from the Alexandria database: crystalline HfTi3Sn2 at its relaxed geometry (GGA-PBE).

Calculated values
Space group: Pnma

abc: 9.058 3.073 17.058
angles: 90.00 90.00 90.00
Atoms (fractional coordinates):
Hf  0.187  0.250  0.160
Hf  0.313  0.750  0.660
Hf  0.687  0.250  0.340
Hf  0.813  0.750  0.840
Ti  0.012  0.750  0.575
Ti  0.043  0.250  0.915
Ti  0.241  0.750  0.828
Ti  0.259  0.250  0.328
Ti  0.457  0.750  0.415
Ti  0.488  0.250  0.075
Ti  0.512  0.750  0.925
Ti  0.543  0.250  0.585
Ti  0.741  0.750  0.672
Ti  0.759  0.250  0.172
Ti  0.957  0.750  0.085
Ti  0.988  0.250  0.425
Sn  0.024  0.250  0.727
Sn  0.247  0.750  0.009
Sn  0.253  0.250  0.509
Sn  0.476  0.750  0.227
Sn  0.524  0.250  0.773
Sn  0.747  0.750  0.491
Sn  0.753  0.250  0.991
Sn  0.976  0.750  0.273

#b
Entry from the Alexandria database: crystalline HfTi3Sn2 at its relaxed geometry (GGA-PBE).

Calculated values
Space group: C2/m

abc: 8.294 8.294 7.547
angles: 112.18 112.18 30.12
Atoms (fractional coordinates):
Hf  0.113  0.113  0.179
Hf  0.887  0.887  0.821
Ti  0.072  0.072  0.687
Ti  0.296  0.296  0.109
Ti  0.385  0.385  0.496
Ti  0.615  0.615  0.504
Ti  0.704  0.704  0.891
Ti  0.928  0.928  0.313
Sn  0.247  0.247  0.681
Sn  0.473  0.473  0.154
Sn  0.527  0.527  0.846
Sn  0.753  0.753  0.319

The structure with the least stability is #a.

#a
Entry from the Alexandria database: crystalline Hf3TiSn at its relaxed geometry (GGA-PBE).

Calculated values
Space group: Pm-3m

abc: 4.929 4.929 4.929
angles: 90.00 90.00 90.00
Atoms (fractional coordinates):
Hf  0.000  0.000  0.500
Hf  0.000  0.500  0.000
Hf  0.500  0.000  0.000
Ti  0.000  0.000  0.000
Sn  0.500  0.500  0.500

#b
Entry from the Alexandria database: crystalline Hf3TiSn at its relaxed geometry (GGA-PBE).

Calculated values
Space group: Pm-3m

abc: 5.211 5.211 5.211
angles: 90.00 90.00 90.00
Atoms (fractional coordinates):
Hf  0.000  0.000  0.500
Hf  0.000  0.500  0.000
Hf  0.500  0.000  0.000
Ti  0.500  0.500  0.500
Sn  0.000  0.000  0.000

#c
Entry from the Alexandria database: crystalline Hf3TiSn at its relaxed geometry (GGA-PBE).

Calculated values
Space group: Pmmn

abc: 4.652 6.106 8.023
angles: 90.00 90.00 90.00
Atoms (fractional coordinates):
Hf  0.250  0.013  0.218
Hf  0.250  0.487  0.218
Hf  0.250  0.750  0.586
Hf  0.750  0.250  0.414
Hf  0.750  0.513  0.782
Hf  0.750  0.987  0.782
Ti  0.250  0.750  0.928
Ti  0.750  0.250  0.072
Sn  0.250  0.250  0.643
Sn  0.750  0.750  0.357

#d
Entry from the Alexandria database: crystalline Hf3TiSn at its relaxed geometry (GGA-PBE).

Calculated values
Space group: Pbcm

abc: 12.065 5.928 6.014
angles: 90.00 90.00 90.00
Atoms (fractional coordinates):
Hf  0.000  0.250  0.000
Hf  0.000  0.250  0.500
Hf  0.000  0.750  0.000
Hf  0.000  0.750  0.500
Hf  0.202  0.024  0.250
Hf  0.202  0.476  0.750
Hf  0.434  0.166  0.750
Hf  0.434  0.334  0.250
Hf  0.566  0.666  0.750
Hf  0.566  0.834  0.250
Hf  0.798  0.524  0.250
Hf  0.798  0.976  0.750
Ti  0.368  0.750  0.000
Ti  0.368  0.750  0.500
Ti  0.632  0.250  0.000
Ti  0.632  0.250  0.500
Sn  0.191  0.516  0.250
Sn  0.191  0.984  0.750
Sn  0.809  0.016  0.250
Sn  0.809  0.484  0.750

The structure with the least stability is #b.